# Mg2NiW | the Alexandria database | PBE | relaxed
# Energy of formation: 164.4 kJ/mol of formula units
# Crystal system: orthorhombic
# DOS at the Fermi energy: 1.055 states/eV per atom
data_Mg2NiW
_cell_length_a 2.8873
_cell_length_b 4.6775
_cell_length_c 4.6826
_cell_angle_alpha 90.00
_cell_angle_beta 90.00
_cell_angle_gamma 90.00
_symmetry_space_group_name_H-M 'P 1'
_symmetry_Int_Tables_number 1
_symmetry_space_group_name_Hall 'P 1'
loop_
_atom_site_label
_atom_site_fract_x
_atom_site_fract_y
_atom_site_fract_z
Mg1 0.5000 0.5000 0.0000
W1 0.0000 0.5000 0.5000
Ni1 0.5000 0.0000 0.5000
Mg2 0.0000 0.0000 0.0000